## w
A geometry-optimized NaLaMgTeO6 structure, computed with PBEsol.

Calculated density in g cm⁻³: 5.61

Cell: 5.5369 5.5725 7.8561 Å, 90.31 90.00 90.00°
Last column: nearest neighbours and their distance in Å.
Atoms (fractional coordinates):
O1 0.5081 0.5034 0.8030  1 Te 1.95, 1 Mg 2.07
O2 0.2500 0.1904 0.0052  1 Te 2.00, 1 Mg 2.17
O3 0.4966 0.0161 0.2651  1 Te 1.91, 1 Mg 2.05
O4 0.9966 0.9839 0.7349  1 Te 1.91, 1 Mg 2.05
O5 0.9919 0.5034 0.8030  1 Te 1.95, 1 Mg 2.07
O6 0.7500 0.8096 0.9948  1 Te 2.00, 1 Mg 2.17
O7 0.5034 0.9839 0.7349  1 Te 1.91, 1 Mg 2.05
O8 0.0034 0.0161 0.2651  1 Te 1.91, 1 Mg 2.05
O9 0.7500 0.6659 0.5130  1 Te 1.87, 1 Mg 1.99
O10 0.2500 0.3341 0.4870  1 Te 1.87, 1 Mg 1.99
O11 0.0081 0.4966 0.1970  1 Te 1.95, 1 Mg 2.07
O12 0.4919 0.4966 0.1970  1 Te 1.95, 1 Mg 2.07
Mg1 0.7500 0.7477 0.2673  6 O 1.99-2.17
Mg2 0.2500 0.2523 0.7327  6 O 1.99-2.17
Na1 0.2500 0.7654 0.5004  3 O 2.41-2.61
Na2 0.7500 0.2346 0.4996  3 O 2.41-2.61
Te1 0.7500 0.7437 0.7449  6 O 1.87-2.00
Te2 0.2500 0.2563 0.2551  6 O 1.87-2.00
La1 0.2500 0.7558 0.9985  5 O 2.42-2.52
La2 0.7500 0.2442 0.0015  5 O 2.42-2.52


## x
A geometry-optimized NaLaMgTeO6 structure, computed with PBEsol.

Calculated density in g cm⁻³: 5.66

Cell: 5.5281 5.5281 5.5402 Å, 90.32 119.63 119.93°
Last column: nearest neighbours and their distance in Å.
Atoms (fractional coordinates):
O1 0.5168 0.3037 0.3038  1 Te 1.93, 1 Mg 2.05
O2 0.9919 0.2103 0.6945  1 Te 1.93, 1 Mg 2.06
O3 0.4842 0.7026 0.6945  1 Te 1.93, 1 Mg 2.06
O4 0.0842 0.7398 0.8240  1 Te 1.94, 1 Mg 2.08
O5 0.0000 0.7869 0.3038  1 Te 1.93, 1 Mg 2.05
O6 0.9196 0.2596 0.1792  1 Te 1.92, 1 Mg 2.07
Te1 0.0002 0.4990 0.4992  6 O 1.92-1.94
Na1 0.4913 0.2482 0.7396  5 O 2.39-2.54
Mg1 0.0015 0.0005 0.0020  6 O 2.05-2.08
La1 0.5101 0.7493 0.2594  5 O 2.37-2.49


The structure with the least stability is x.


## w
A geometry-optimized Sr2La2MgRu3O12 structure, computed with PBEsol.

Calculated density in g cm⁻³: 6.70

Cell: 5.5620 5.5345 7.8341 Å, 90.01 89.73 90.03°
Last column: nearest neighbours and their distance in Å.
Atoms (fractional coordinates):
O1 0.0075 0.5778 0.2479  2 Ru 1.99-2.02
O2 0.4903 0.0763 0.7451  1 Ru 1.96, 1 Mg 2.04
O3 0.7829 0.7849 0.5391  2 Ru 2.00-2.01
O4 0.2089 0.2067 0.4594  2 Ru 2.01-2.02
O5 0.2063 0.2167 0.0372  1 Ru 1.96, 1 Mg 2.03
O6 0.7843 0.7738 0.9690  1 Ru 1.95, 1 Mg 2.05
O7 0.5175 0.9408 0.2555  1 Ru 1.95, 1 Mg 2.03
O8 0.2940 0.7077 0.5399  2 Ru 2.01
O9 0.9849 0.4338 0.7516  2 Ru 1.98-2.01
O10 0.7254 0.2837 0.0329  1 Ru 1.96, 1 Mg 2.04
O11 0.2842 0.7044 0.9620  1 Ru 1.96, 1 Mg 2.04
O12 0.7164 0.2855 0.4619  2 Ru 2.00-2.01
Mg1 0.4964 0.9998 0.9998  6 O 2.03-2.05
Ru1 0.5004 0.0013 0.5002  6 O 1.95-2.01
Ru2 0.0010 0.4994 0.9995  6 O 1.95-1.99
Ru3 0.0019 0.5012 0.5001  6 O 2.01-2.02
La1 0.5373 0.5052 0.7565  6 O 2.39-2.67
La2 0.9578 0.0113 0.2426  6 O 2.40-2.65
Sr1 0.0345 0.9927 0.7553  7 O 2.46-2.72
Sr2 0.4682 0.4970 0.2447  8 O 2.47-2.76


## x
A geometry-optimized Sr2La2MgRu3O12 structure, computed with PBEsol.

Calculated density in g cm⁻³: 6.71

Cell: 5.5090 5.5406 15.7658 Å, 90.21 90.00 90.00°
Last column: nearest neighbours and their distance in Å.
Atoms (fractional coordinates):
La1 0.0081 0.9636 0.3833  5 O 2.30-2.54
La2 0.9919 0.0364 0.6167  5 O 2.30-2.54
La3 0.4919 0.4636 0.3833  5 O 2.30-2.54
La4 0.5081 0.5364 0.6167  5 O 2.30-2.54
Ru1 0.0000 0.5000 0.0000  6 O 1.98-1.99
Ru2 0.9959 0.5028 0.2482  6 O 1.95-2.02
Ru3 0.5041 0.0028 0.2482  6 O 1.95-2.02
Ru4 0.4959 0.9972 0.7518  6 O 1.95-2.02
Ru5 0.5000 0.0000 0.0000  6 O 1.98-1.99
Ru6 0.0041 0.4972 0.7518  6 O 1.95-2.02
O1 0.4377 0.9935 0.1234  2 Ru 1.98-2.00
O2 0.2846 0.7183 0.2709  2 Ru 2.02
O3 0.9377 0.5065 0.8766  2 Ru 1.98-2.00
O4 0.3024 0.6970 0.4842  2 Mg 2.01-2.02
O5 0.2140 0.2130 0.7679  2 Ru 1.97-1.98
O6 0.7140 0.2870 0.2321  2 Ru 1.97-1.98
O7 0.7846 0.7817 0.7291  2 Ru 2.02
O8 0.7154 0.2817 0.7291  2 Ru 2.02
O9 0.7180 0.2816 0.0167  2 Ru 1.99
O10 0.0623 0.4935 0.1234  2 Ru 1.98-2.00
O11 0.2154 0.2183 0.2709  2 Ru 2.02
O12 0.7860 0.7870 0.2321  2 Ru 1.97-1.98
O13 0.1976 0.1970 0.4842  2 Mg 2.01-2.02
O14 0.9315 0.5145 0.3699  1 Ru 1.95, 1 Mg 2.09
O15 0.2180 0.2184 0.9833  2 Ru 1.99
O16 0.7820 0.7816 0.0167  2 Ru 1.99
O17 0.5685 0.0145 0.3699  1 Ru 1.95, 1 Mg 2.09
O18 0.5623 0.0065 0.8766  2 Ru 1.98-2.00
O19 0.4315 0.9855 0.6301  1 Ru 1.95, 1 Mg 2.09
O20 0.0685 0.4855 0.6301  1 Ru 1.95, 1 Mg 2.09
O21 0.2820 0.7184 0.9833  2 Ru 1.99
O22 0.8024 0.8030 0.5158  2 Mg 2.01-2.02
O23 0.6976 0.3030 0.5158  2 Mg 2.01-2.02
O24 0.2860 0.7130 0.7679  2 Ru 1.97-1.98
Sr1 0.4944 0.4674 0.8763  7 O 2.45-2.74
Sr2 0.0056 0.9674 0.8763  7 O 2.45-2.74
Sr3 0.9944 0.0326 0.1237  7 O 2.45-2.74
Sr4 0.5056 0.5326 0.1237  7 O 2.45-2.74
Mg1 0.5000 0.0000 0.5000  6 O 2.01-2.09
Mg2 0.0000 0.5000 0.5000  6 O 2.01-2.09


The structure with the least stability is x.


## w
A geometry-optimized La3MgOs structure, computed with PBEsol.

Calculated density in g cm⁻³: 7.50

Cell: 6.3203 6.8321 6.8325 Å, 93.05 102.54 102.56°
Last column: nearest neighbours and their distance in Å.
Atoms (fractional coordinates):
Mg1 0.2147 0.6177 0.5568  2 Os 2.94, 1 La 3.13
Mg2 0.7528 0.2892 0.2279  2 Os 3.10-3.11, 5 La 3.11-3.45
La1 0.7207 0.7742 0.3289  1 Os 2.76
La2 0.1447 0.1301 0.6403  2 Os 2.83-3.15
La3 0.7204 0.3898 0.7128  1 Os 2.76
La4 0.2391 0.2286 0.1677  2 Os 2.79, 1 Mg 3.11
La5 0.6345 0.9044 0.8434  2 Os 2.92, 1 Mg 3.13
La6 0.1447 0.7010 0.0693  2 Os 2.83-3.15
Os1 0.4462 0.5018 0.9391  4 La 2.76-2.92, 1 Mg 2.94
Os2 0.4456 0.9998 0.4408  4 La 2.76-2.92, 1 Mg 2.94


## x
A geometry-optimized La3MgOs structure, computed with PBEsol.

Calculated density in g cm⁻³: 6.15

Cell: 5.5451 5.5451 5.5451 Å, 90.00 90.00 90.00°
Last column: nearest neighbours and their distance in Å.
Atoms (fractional coordinates):
La1 0.5000 0.0000 0.0000  2 Os 2.77
La2 0.0000 0.0000 0.5000  2 Os 2.77
La3 0.0000 0.5000 0.0000  2 Os 2.77
Mg1 0.5000 0.5000 0.5000  12 La 3.92
Os1 0.0000 0.0000 0.0000  6 La 2.77


The structure with the least stability is x.


## w
A geometry-optimized La2MgP structure, computed with PBEsol.

Calculated density in g cm⁻³: 4.71

Cell: 4.3642 4.3642 6.1625 Å, 90.00 90.00 90.00°
Last column: nearest neighbours and their distance in Å.
Atoms (fractional coordinates):
P1 0.5000 0.5000 0.8730  6 La 3.07-3.09
Mg1 0.0000 0.0000 0.3790  6 La 3.07-3.09
La1 0.5000 0.5000 0.3709  2 P 3.07-3.09, 4 Mg 3.09
La2 0.0000 0.0000 0.8771  2 Mg 3.07-3.09, 4 P 3.09


## x
A geometry-optimized La2MgP structure, computed with PBEsol.

Calculated density in g cm⁻³: 4.46

Cell: 4.0172 4.0172 17.7553 Å, 90.00 90.00 120.00°
Last column: nearest neighbours and their distance in Å.
Atoms (fractional coordinates):
Mg1 0.3333 0.6667 0.7500  6 La 3.60, 6 Mg 4.02
Mg2 0.6667 0.3333 0.2500  6 La 3.60, 6 Mg 4.02
La1 0.3333 0.6667 0.0952  3 P 2.87
La2 0.6667 0.3333 0.5952  3 P 2.87
La3 0.3333 0.6667 0.4048  3 P 2.87
La4 0.6667 0.3333 0.9048  3 P 2.87
P1 0.0000 0.0000 0.5000  6 La 2.87
P2 0.0000 0.0000 0.0000  6 La 2.87


The structure with the least stability is w.


## w
A geometry-optimized La2MgP structure, computed with PBEsol.

Calculated density in g cm⁻³: 5.29

Cell: 3.5367 3.5367 8.3556 Å, 90.00 90.00 90.00°
Last column: nearest neighbours and their distance in Å.
Atoms (fractional coordinates):
P1 0.5000 0.5000 0.7122  4 Mg 2.78, 4 La 3.08
La1 0.5000 0.5000 0.2932  4 Mg 3.39, 1 P 3.50, 4 La 3.54
La2 0.0000 0.0000 0.9280  1 Mg 3.02, 4 P 3.08
Mg1 0.0000 0.0000 0.5667  4 P 2.78, 1 La 3.02


## x
A geometry-optimized La2MgP structure, computed with PBEsol.

Calculated density in g cm⁻³: 5.34

Cell: 3.7824 3.7824 7.2424 Å, 90.00 90.00 90.00°
Last column: nearest neighbours and their distance in Å.
Atoms (fractional coordinates):
P1 0.5000 0.5000 0.5000  8 La 3.09
La1 0.0000 0.0000 0.2855  4 P 3.09, 1 La 3.11, 4 Mg 3.38
La2 0.0000 0.0000 0.7145  4 P 3.09, 1 La 3.11, 4 Mg 3.38
Mg1 0.5000 0.5000 0.0000  8 La 3.38, 2 P 3.62, 4 Mg 3.78


The structure with the least stability is w.


## w
A geometry-optimized La2MgSe structure, computed with PBEsol.

Calculated density in g cm⁻³: 5.94

Cell: 3.5944 5.4486 5.4438 Å, 90.00 90.00 90.00°
Last column: nearest neighbours and their distance in Å.
Atoms (fractional coordinates):
Mg1 0.6250 0.0000 0.0000  8 La 3.26-3.27, 2 Mg 3.59
La1 0.1259 0.0000 0.5000  4 Mg 3.26, 4 Se 3.26-3.27, 2 La 3.59
La2 0.1242 0.5000 0.0000  4 Se 3.26, 4 Mg 3.26-3.27, 2 La 3.59
Se1 0.6249 0.5000 0.5000  8 La 3.26-3.27, 2 Se 3.59


## x
A geometry-optimized La2MgSe structure, computed with PBEsol.

Calculated density in g cm⁻³: 6.02

Cell: 3.6844 5.3980 5.3980 Å, 101.52 90.00 90.00°
Last column: nearest neighbours and their distance in Å.
Atoms (fractional coordinates):
La1 0.0000 0.5000 0.0000  4 Mg 3.27, 4 Se 3.27, 2 La 3.41
La2 0.0000 0.0000 0.5000  4 Se 3.27, 4 Mg 3.27, 2 La 3.41
Mg1 0.5000 0.0000 0.0000  8 La 3.27, 2 Se 3.41
Se1 0.5000 0.5000 0.5000  8 La 3.27, 2 Mg 3.41


## y
A geometry-optimized La2MgSe structure, computed with PBEsol.

Calculated density in g cm⁻³: 5.99

Cell: 4.4542 4.4542 6.1861 Å, 111.10 111.10 90.00°
Last column: nearest neighbours and their distance in Å.
Atoms (fractional coordinates):
Se1 0.2500 0.7500 0.5000  8 La 3.15-3.47, 4 Mg 3.47
La1 0.7500 0.2500 0.5000  4 Se 3.15, 4 Mg 3.47, 4 La 3.47
La2 0.0000 0.0000 0.0000  4 Mg 3.15, 4 La 3.47, 4 Se 3.47
Mg1 0.5000 0.5000 0.0000  8 La 3.15-3.47, 4 Se 3.47


The structure with the least stability is y.